(a)
! PBE Sc2FeRe, optimized geometry; values from VASP
! SG	P4/mmm, No. 123
&SYSTEM
  ibrav = 0, nat = 4, ntyp = 3
/
ATOMIC_SPECIES
Sc 44.96 Sc.upf
Fe 55.84 Fe.upf
Re 186.21 Re.upf
CELL_PARAMETERS angstrom
-3.103 1.014 0.518
-1.139 -2.748 -1.446
-0.025 -2.887 5.505
ATOMIC_POSITIONS angstrom
Sc -0.013 -1.444 2.753
Fe -2.128 -1.589 0.912
Re -2.140 -3.032 3.665
Sc -0.025 -2.887 5.505


(b)
! PBE Sc2FeRe, optimized geometry; values from VASP
! SG	F-43m, No. 216
&SYSTEM
  ibrav = 0, nat = 4, ntyp = 3
/
ATOMIC_SPECIES
Re 186.21 Re.upf
Fe 55.84 Fe.upf
Sc 44.96 Sc.upf
CELL_PARAMETERS angstrom
-2.407 -1.411 -3.509
1.572 -3.277 -2.623
-1.918 -4.050 0.081
ATOMIC_POSITIONS angstrom
Re -0.688 -2.185 -1.513
Fe -1.377 -4.369 -3.025
Sc 0.000 0.000 0.000
Sc -2.065 -6.554 -4.538


Which structure is most stable? (a), by 0.104 eV/atom over the runner-up.


(a)
! PBE Sc2FeRe, optimized geometry; values from VASP
! SG	Pmmm, No. 47
&SYSTEM
  ibrav = 0, nat = 4, ntyp = 3
/
ATOMIC_SPECIES
Sc 44.96 Sc.upf
Re 186.21 Re.upf
Fe 55.84 Fe.upf
CELL_PARAMETERS angstrom
-2.213 -1.770 -1.906
0.587 -3.716 2.769
-3.144 1.314 2.430
ATOMIC_POSITIONS angstrom
Sc 0.000 0.000 0.000
Sc -0.813 -2.743 0.432
Re -1.278 -1.201 2.600
Fe -2.678 -0.228 0.262


(b)
! PBE Sc2FeRe, optimized geometry; values from VASP
! SG	Immm, No. 71
&SYSTEM
  ibrav = 0, nat = 4, ntyp = 3
/
ATOMIC_SPECIES
Sc 44.96 Sc.upf
Re 186.21 Re.upf
Fe 55.84 Fe.upf
CELL_PARAMETERS angstrom
5.064 -0.113 0.019
4.009 3.096 0.019
2.190 0.720 4.104
ATOMIC_POSITIONS angstrom
Sc 8.977 2.952 0.095
Re 8.447 2.778 3.107
Sc 5.728 1.883 2.014
Fe 2.816 0.926 1.036


Which structure is most stable? (b), by 0.027 eV/atom over the runner-up.


(a)
! PBE ScFeRe, optimized geometry; values from VASP
! SG	Imma, No. 74
&SYSTEM
  ibrav = 0, nat = 6, ntyp = 3
/
ATOMIC_SPECIES
Fe 55.84 Fe.upf
Sc 44.96 Sc.upf
Re 186.21 Re.upf
CELL_PARAMETERS angstrom
-2.636 -0.555 4.367
3.410 -3.541 -1.471
2.343 0.506 4.537
ATOMIC_POSITIONS angstrom
Fe -1.318 -0.277 2.184
Fe 1.705 -1.770 -0.736
Sc 1.232 -0.265 3.743
Re 2.876 -1.518 1.533
Re 0.387 -2.048 1.448
Sc 1.885 -3.325 3.689


(b)
! PBE ScFeRe, optimized geometry; values from VASP
! SG	F-43m, No. 216
&SYSTEM
  ibrav = 0, nat = 3, ntyp = 3
/
ATOMIC_SPECIES
Sc 44.96 Sc.upf
Fe 55.84 Fe.upf
Re 186.21 Re.upf
CELL_PARAMETERS angstrom
-0.955 1.375 -3.947
-4.041 1.036 -0.990
-1.065 4.104 -0.641
ATOMIC_POSITIONS angstrom
Sc -4.547 4.886 -4.184
Fe 0.000 0.000 0.000
Re -3.031 3.258 -2.789


Which structure is most stable? (a), by 1.614 eV/atom over the runner-up.


(a)
! PBE ScFeRe, optimized geometry; values from VASP
! SG	F-43m, No. 216
&SYSTEM
  ibrav = 0, nat = 3, ntyp = 3
/
ATOMIC_SPECIES
Sc 44.96 Sc.upf
Re 186.21 Re.upf
Fe 55.84 Fe.upf
CELL_PARAMETERS angstrom
4.142 0.000 0.000
2.071 3.587 0.000
2.071 1.196 3.382
ATOMIC_POSITIONS angstrom
Sc 4.142 2.391 1.691
Re 0.000 0.000 0.000
Fe 6.212 3.587 2.536


(b)
! PBE ScFeRe, optimized geometry; values from VASP
! SG	P3m1, No. 156
&SYSTEM
  ibrav = 0, nat = 3, ntyp = 3
/
ATOMIC_SPECIES
Fe 55.84 Fe.upf
Sc 44.96 Sc.upf
Re 186.21 Re.upf
CELL_PARAMETERS angstrom
-1.666 3.558 -1.998
-1.801 -3.963 -0.693
-1.705 0.401 2.136
ATOMIC_POSITIONS angstrom
Fe -0.093 0.022 0.117
Sc -2.864 1.322 -0.119
Re -2.215 -1.348 -0.554


(c)
! PBE ScFeRe, optimized geometry; values from VASP
! SG	I4mm, No. 107
&SYSTEM
  ibrav = 0, nat = 3, ntyp = 3
/
ATOMIC_SPECIES
Sc 44.96 Sc.upf
Re 186.21 Re.upf
Fe 55.84 Fe.upf
CELL_PARAMETERS angstrom
-2.644 -5.158 -0.434
0.212 -5.786 -0.513
-0.142 -0.988 2.749
ATOMIC_POSITIONS angstrom
Sc -1.659 -7.584 0.301
Re -0.960 -4.544 1.430
Fe -2.387 -10.750 -0.875


Which structure is most stable? (c), by 0.161 eV/atom over the runner-up.


(a)
! PBE Sc3FeRe, optimized geometry; values from VASP
! SG	Pm-3m, No. 221
&SYSTEM
  ibrav = 0, nat = 5, ntyp = 3
/
ATOMIC_SPECIES
Sc 44.96 Sc.upf
Re 186.21 Re.upf
Fe 55.84 Fe.upf
CELL_PARAMETERS angstrom
-0.247 1.086 -4.841
4.109 -2.672 -0.809
-2.781 -4.044 -0.766
ATOMIC_POSITIONS angstrom
Sc -0.123 0.543 -2.421
Sc -1.391 -2.022 -0.383
Sc 2.054 -1.336 -0.404
Re 0.000 0.000 0.000
Fe 0.541 -2.815 -3.208


(b)
! PBE Sc3FeRe, optimized geometry; values from VASP
! SG	Pm-3m, No. 221
&SYSTEM
  ibrav = 0, nat = 5, ntyp = 3
/
ATOMIC_SPECIES
Fe 55.84 Fe.upf
Sc 44.96 Sc.upf
Re 186.21 Re.upf
CELL_PARAMETERS angstrom
-2.031 -0.453 -4.141
-2.534 -3.522 1.628
-3.306 2.978 1.296
ATOMIC_POSITIONS angstrom
Fe 0.000 0.000 0.000
Sc -1.653 1.489 0.648
Sc -1.267 -1.761 0.814
Re -3.936 -0.499 -0.608
Sc -1.016 -0.227 -2.071


Which structure is most stable? (b), by 0.315 eV/atom over the runner-up.


(a)
! PBE FeReSe2, optimized geometry; values from VASP
! SG	C2/m, No. 12
&SYSTEM
  ibrav = 0, nat = 4, ntyp = 3
/
ATOMIC_SPECIES
Se 78.96 Se.upf
Re 186.21 Re.upf
Fe 55.84 Fe.upf
CELL_PARAMETERS angstrom
-0.585 -2.717 -3.147
1.913 -0.931 -3.620
3.168 -4.020 1.547
ATOMIC_POSITIONS angstrom
Se 1.330 -3.629 -6.687
Se 2.246 -3.853 -2.691
Re 1.124 -1.917 -1.305
Fe 3.372 -5.751 -3.915


(b)
! PBE FeReSe2, optimized geometry; values from VASP
! SG	Immm, No. 71
&SYSTEM
  ibrav = 0, nat = 4, ntyp = 3
/
ATOMIC_SPECIES
Se 78.96 Se.upf
Re 186.21 Re.upf
Fe 55.84 Fe.upf
CELL_PARAMETERS angstrom
-6.184 -2.825 2.050
-2.449 -6.386 1.908
4.750 5.256 0.481
ATOMIC_POSITIONS angstrom
Se -5.348 -5.706 2.452
Re -1.008 -2.868 2.184
Fe -2.875 -1.087 2.255
Se -7.601 -8.109 3.484


(c)
! PBE FeReSe2, optimized geometry; values from VASP
! SG	R-3m, No. 166
&SYSTEM
  ibrav = 0, nat = 4, ntyp = 3
/
ATOMIC_SPECIES
Se 78.96 Se.upf
Fe 55.84 Fe.upf
Re 186.21 Re.upf
CELL_PARAMETERS angstrom
-0.318 1.244 7.638
1.829 -0.978 7.463
2.622 1.979 7.014
ATOMIC_POSITIONS angstrom
Se 4.129 2.244 22.100
Se 2.069 1.125 11.073
Fe 1.033 0.561 5.529
Re 3.099 1.684 16.587


(d)
! PBE FeReSe2, optimized geometry; values from VASP
! SG	Cm, No. 8
&SYSTEM
  ibrav = 0, nat = 4, ntyp = 3
/
ATOMIC_SPECIES
Se 78.96 Se.upf
Fe 55.84 Fe.upf
Re 186.21 Re.upf
CELL_PARAMETERS angstrom
4.289 -0.011 -0.061
3.120 2.943 -0.061
1.057 0.418 6.468
ATOMIC_POSITIONS angstrom
Se 7.317 2.895 0.589
Fe 4.264 1.687 2.914
Re 2.136 0.845 2.008
Se 6.391 2.529 3.884


Which structure is most stable? (b), by 0.117 eV/atom over the runner-up.


(a)
! PBE FeReSe2, optimized geometry; values from VASP
! SG	P4/mmm, No. 123
&SYSTEM
  ibrav = 0, nat = 4, ntyp = 3
/
ATOMIC_SPECIES
Fe 55.84 Fe.upf
Se 78.96 Se.upf
Re 186.21 Re.upf
CELL_PARAMETERS angstrom
3.099 0.000 0.000
0.000 3.099 0.000
0.000 0.000 6.216
ATOMIC_POSITIONS angstrom
Fe 1.550 1.550 1.554
Se 0.000 0.000 3.089
Se 0.000 0.000 0.019
Re 1.550 1.550 4.662


(b)
! PBE FeReSe2, optimized geometry; values from VASP
! SG	P2/m, No. 10
&SYSTEM
  ibrav = 0, nat = 4, ntyp = 3
/
ATOMIC_SPECIES
Se 78.96 Se.upf
Re 186.21 Re.upf
Fe 55.84 Fe.upf
CELL_PARAMETERS angstrom
-0.272 -1.673 -3.742
-2.447 -1.017 0.633
-0.670 5.837 -2.561
ATOMIC_POSITIONS angstrom
Se -2.034 -0.831 0.520
Re -2.474 2.778 -3.317
Fe -0.915 0.368 -2.353
Se -1.972 2.223 -0.851


(c)
! PBE FeReSe2, optimized geometry; values from VASP
! SG	F-43m, No. 216
&SYSTEM
  ibrav = 0, nat = 4, ntyp = 3
/
ATOMIC_SPECIES
Fe 55.84 Fe.upf
Se 78.96 Se.upf
Re 186.21 Re.upf
CELL_PARAMETERS angstrom
4.490 0.000 0.000
2.245 3.889 0.000
2.245 1.296 3.666
ATOMIC_POSITIONS angstrom
Fe 4.490 2.592 1.833
Se 0.000 0.000 0.000
Se 2.245 1.296 0.917
Re 6.735 3.889 2.750


Which structure is most stable? (a), by 0.257 eV/atom over the runner-up.


(a)
! PBE FeReSe2, optimized geometry; values from VASP
! SG	Pm, No. 6
&SYSTEM
  ibrav = 0, nat = 4, ntyp = 3
/
ATOMIC_SPECIES
Se 78.96 Se.upf
Fe 55.84 Fe.upf
Re 186.21 Re.upf
CELL_PARAMETERS angstrom
-1.956 2.714 -1.643
-2.498 -0.130 2.757
3.280 4.305 3.206
ATOMIC_POSITIONS angstrom
Se -0.705 2.901 1.403
Fe 1.112 2.640 3.036
Se 0.705 3.675 5.229
Re -1.112 3.935 3.596


(b)
! PBE FeReSe2, optimized geometry; values from VASP
! SG	Fm-3m, No. 225
&SYSTEM
  ibrav = 0, nat = 4, ntyp = 3
/
ATOMIC_SPECIES
Se 78.96 Se.upf
Re 186.21 Re.upf
Fe 55.84 Fe.upf
CELL_PARAMETERS angstrom
1.521 1.803 3.652
-2.744 1.100 3.188
-0.033 -2.258 3.715
ATOMIC_POSITIONS angstrom
Se -0.314 0.161 2.639
Se -0.942 0.484 7.917
Re -0.628 0.322 5.278
Fe 0.000 0.000 0.000


(c)
! PBE FeReSe2, optimized geometry; values from VASP
! SG	Pmmm, No. 47
&SYSTEM
  ibrav = 0, nat = 4, ntyp = 3
/
ATOMIC_SPECIES
Se 78.96 Se.upf
Fe 55.84 Fe.upf
Re 186.21 Re.upf
CELL_PARAMETERS angstrom
3.032 0.000 0.000
0.000 5.647 0.000
0.000 0.000 3.979
ATOMIC_POSITIONS angstrom
Se 0.000 0.000 0.000
Fe 1.516 0.000 1.989
Re 0.000 2.823 1.989
Se 1.516 2.823 0.000


Which structure is most stable? (a), by 0.585 eV/atom over the runner-up.


(a)
! PBE FeReSe2, optimized geometry; values from VASP
! SG	I-42d, No. 122
&SYSTEM
  ibrav = 0, nat = 8, ntyp = 3
/
ATOMIC_SPECIES
Fe 55.84 Fe.upf
Re 186.21 Re.upf
Se 78.96 Se.upf
CELL_PARAMETERS angstrom
5.439 0.000 0.000
0.000 5.439 0.000
2.719 2.719 5.377
ATOMIC_POSITIONS angstrom
Fe 2.719 5.439 2.689
Re 5.439 2.719 2.689
Se 4.079 4.176 4.033
Re 0.000 0.000 0.000
Fe 2.719 2.719 0.000
Se 6.798 6.701 4.033
Se 3.982 1.360 1.344
Se 1.457 4.079 1.344


(b)
! PBE FeReSe2, optimized geometry; values from VASP
! SG	P4mm, No. 99
&SYSTEM
  ibrav = 0, nat = 4, ntyp = 3
/
ATOMIC_SPECIES
Se 78.96 Se.upf
Re 186.21 Re.upf
Fe 55.84 Fe.upf
CELL_PARAMETERS angstrom
2.977 0.000 0.000
0.000 2.977 0.000
0.000 0.000 7.964
ATOMIC_POSITIONS angstrom
Se 1.489 1.489 2.800
Re 1.489 1.489 5.805
Fe 0.000 0.000 4.023
Se 0.000 0.000 7.281


Which structure is most stable? (b), by 0.318 eV/atom over the runner-up.


(a)
! PBE FeReSe2, optimized geometry; values from VASP
! SG	I-4m2, No. 119
&SYSTEM
  ibrav = 0, nat = 4, ntyp = 3
/
ATOMIC_SPECIES
Re 186.21 Re.upf
Se 78.96 Se.upf
Fe 55.84 Fe.upf
CELL_PARAMETERS angstrom
-4.466 1.100 1.971
-1.495 -3.178 3.565
4.194 2.584 -0.882
ATOMIC_POSITIONS angstrom
Re -1.626 1.323 1.929
Se -0.141 -0.817 2.725
Se 0.000 0.000 0.000
Fe -2.980 -1.039 2.768


(b)
! PBE FeReSe2, optimized geometry; values from VASP
! SG	R3m, No. 160
&SYSTEM
  ibrav = 0, nat = 4, ntyp = 3
/
ATOMIC_SPECIES
Fe 55.84 Fe.upf
Re 186.21 Re.upf
Se 78.96 Se.upf
CELL_PARAMETERS angstrom
9.780 0.056 0.033
9.287 3.064 0.033
9.287 1.520 2.661
ATOMIC_POSITIONS angstrom
Fe 14.080 2.304 1.354
Re 21.419 3.505 2.059
Se 0.812 0.133 0.078
Se 6.220 1.018 0.598


(c)
! PBE FeReSe2, optimized geometry; values from VASP
! SG	C2/m, No. 12
&SYSTEM
  ibrav = 0, nat = 4, ntyp = 3
/
ATOMIC_SPECIES
Se 78.96 Se.upf
Re 186.21 Re.upf
Fe 55.84 Fe.upf
CELL_PARAMETERS angstrom
-4.494 4.827 -1.251
2.178 -4.215 -3.331
-1.106 -2.394 0.224
ATOMIC_POSITIONS angstrom
Se 0.000 0.000 0.000
Se -2.800 1.217 -0.514
Re -1.158 0.306 -2.291
Fe 0.536 -3.304 -1.553


(d)
! PBE FeReSe2, optimized geometry; values from VASP
! SG	Cmmm, No. 65
&SYSTEM
  ibrav = 0, nat = 4, ntyp = 3
/
ATOMIC_SPECIES
Se 78.96 Se.upf
Re 186.21 Re.upf
Fe 55.84 Fe.upf
CELL_PARAMETERS angstrom
3.163 -0.016 0.000
-1.703 2.666 0.000
0.000 0.000 8.044
ATOMIC_POSITIONS angstrom
Se 0.000 0.000 0.022
Re 0.730 1.325 6.033
Se 0.000 0.000 4.000
Fe 0.730 1.325 2.011


Which structure is most stable? (b), by 0.630 eV/atom over the runner-up.


(a)
! PBE FeRe3Si, optimized geometry; values from VASP
! SG	Pm-3m, No. 221
&SYSTEM
  ibrav = 0, nat = 5, ntyp = 3
/
ATOMIC_SPECIES
Re 186.21 Re.upf
Si 28.09 Si.upf
Fe 55.84 Fe.upf
CELL_PARAMETERS angstrom
-0.085 -0.926 4.247
-0.751 -4.181 -0.927
4.282 -0.752 -0.079
ATOMIC_POSITIONS angstrom
Re -0.042 -0.463 2.124
Si 0.000 0.000 0.000
Re -0.376 -2.091 -0.463
Re 2.141 -0.376 -0.039
Fe 1.723 -2.930 1.621


(b)
! PBE FeRe3Si, optimized geometry; values from VASP
! SG	Pm-3m, No. 221
&SYSTEM
  ibrav = 0, nat = 5, ntyp = 3
/
ATOMIC_SPECIES
Si 28.09 Si.upf
Re 186.21 Re.upf
Fe 55.84 Fe.upf
CELL_PARAMETERS angstrom
-1.409 4.152 0.349
-1.034 -0.705 4.217
4.037 1.269 1.202
ATOMIC_POSITIONS angstrom
Si 0.797 2.358 2.884
Re 2.018 0.635 0.601
Re -0.517 -0.353 2.109
Fe 0.000 0.000 0.000
Re -0.705 2.076 0.174


Which structure is most stable? (a), by 0.125 eV/atom over the runner-up.